A relaxed LiAs2Se crystal. Source: Alexandria, functional PBE.

abc: 2.6672 2.6672 12.1842
angles: 90.00 90.00 88.27
Closest atoms and distances in Å follow each position.
Fractional positions:
As  0.0000  0.0000  0.0736  4 As 2.67, 4 Li 2.84-2.88
Se  0.5000  0.5000  0.7500  4 Se 2.67
Li  0.5000  0.5000  0.2500  4 Li 2.67, 8 As 2.84-2.88
As  0.0000  0.0000  0.4264  4 As 2.67, 4 Li 2.84-2.88

Calculated values
* mass density: 4518 kg/m3
* total magnetization: 0.000 μB per formula unit
* electronic total energy: -14.87 eV per cell